VASP calculation (PBE) on TbY2Ag3S6 after structural relaxation.

Unit cell a=4.055 b=9.624 c=8.025 alpha=105.55 beta=104.63 gamma=90.00
Fractional positions:
S1 0.011 0.809 0.023
Ag1 0.175 0.938 0.351
S2 0.317 0.857 0.634
Ag2 0.500 0.500 0.000
S3 0.683 0.143 0.366
Tb1 0.500 0.000 0.000
S4 0.343 0.480 0.686
S5 0.657 0.520 0.314
Y1 0.165 0.335 0.330
Y2 0.835 0.665 0.670
S6 0.989 0.191 0.977
Ag3 0.825 0.062 0.649

The calculation puts the total energy at -0.2038 Ha/atom.